(1)
TaAl2Zn: single point on PBEsol structure, SCAN.

Cell lengths 2.907, 2.907, 9.033 Å; angles 80.76, 80.76, 60.00 degrees
Positions (direct):
Ta 0.501 0.501 0.498
Al 0.750 0.750 0.751
Al 0.998 0.998 0.006
Zn 0.252 0.252 0.244

Computed properties:
Its symmetry is R3m, No. 160. As for the mass density: 7.679 Mg/m³. The energy of formation from the pure elements is -30 meV per atom. As for the density of states at the Fermi level: 1.3 states/eV per cell.

(2)
MnPtAu2: single point on PBEsol structure, SCAN.

Cell lengths 2.956, 4.756, 4.828 Å; angles 102.78, 107.83, 90.00 degrees
Each line ends with the local moment (μB).
Positions (direct):
Pt 0.759 0.262 0.518  0.17
Au 0.243 0.746 0.486  0.04
Au 0.002 0.001 0.004  0.03
Mn 0.496 0.492 0.992  4.12

Computed properties:
Its symmetry is Cm, No. 8. As for the mass density: 17.014 Mg/m³. The energy of formation from the pure elements is -313 meV per atom. As for the density of states at the Fermi level: 1.3 states/eV per cell.

(3)
TaAsOs2: single point on PBEsol structure, SCAN.

Cell lengths 3.441, 4.194, 4.194 Å; angles 90.00, 90.00, 90.00 degrees
Positions (direct):
Ta 0.500 0.500 0.500
Os 0.000 0.000 0.500
Os 0.000 0.500 0.000
As 0.500 0.000 0.000

Computed properties:
Its symmetry is P4/mmm, No. 123. As for the mass density: 17.454 Mg/m³. The energy of formation from the pure elements is 118 meV per atom. As for the density of states at the Fermi level: 2.2 states/eV per cell.

(4)
In2CuSi: single point on PBEsol structure, SCAN.

Cell lengths 4.010, 4.010, 5.474 Å; angles 111.48, 111.48, 90.00 degrees
Positions (direct):
In 0.000 0.000 0.000
In 0.750 0.250 0.500
Cu 0.250 0.750 0.500
Si 0.500 0.500 0.000

Computed properties:
Its symmetry is I-4m2, No. 119. As for the mass density: 7.086 Mg/m³. As for the density of states at the Fermi level: 1.6 states/eV per cell. The formation energy from raw total energies comes out at 0.448 eV per atom.